No. 1
DFT (PBE) results for a relaxed PmDy2InC crystal.

Lattice parameters (Å, degrees): 5.0832 4.9328 4.9328 90.00 90.00 90.00
Last column: nearest neighbours and their distance in Å.
Element x y z (fractional)
C 0.0000 0.0000 0.0000  4 Dy 2.47, 2 Pm 2.54
Dy 0.0000 0.5000 0.0000  2 C 2.47
Dy 0.0000 0.0000 0.5000  2 C 2.47
In 0.5000 0.5000 0.5000  4 Pm 3.49, 8 Dy 3.54
Pm 0.5000 0.0000 0.0000  2 C 2.54

Computed properties:
V: 24.74 A^3/atom
Density: 8.0 Mg/m³
Crystal system: tetragonal
Formation enthalpy at 0 K: -0.447 eV per atom


No. 2
DFT (PBE) results for a relaxed Pr2DyInC crystal.

Lattice parameters (Å, degrees): 4.9355 5.1835 5.1835 90.00 90.00 90.00
Last column: nearest neighbours and their distance in Å.
Element x y z (fractional)
Pr 0.0000 0.5000 0.0000  2 C 2.59
Pr 0.0000 0.0000 0.5000  2 C 2.59
C 0.0000 0.0000 0.0000  2 Dy 2.47, 4 Pr 2.59
In 0.5000 0.5000 0.5000  8 Pr 3.58, 4 Dy 3.67
Dy 0.5000 0.0000 0.0000  2 C 2.47

Computed properties:
V: 26.52 A^3/atom
Density: 7.2 Mg/m³
Crystal system: tetragonal
Formation enthalpy at 0 K: -0.342 eV per atom


No. 3
DFT (PBE) results for a relaxed DySc2InC crystal.

Lattice parameters (Å, degrees): 4.8759 4.5979 4.5979 90.00 90.00 90.00
Last column: nearest neighbours and their distance in Å.
Element x y z (fractional)
Sc 0.0000 0.0000 0.5000  2 C 2.30
Sc 0.0000 0.5000 0.0000  2 C 2.30
In 0.5000 0.5000 0.5000  4 Dy 3.25, 8 Sc 3.35
Dy 0.5000 0.0000 0.0000  2 C 2.44
C 0.0000 0.0000 0.0000  4 Sc 2.30, 2 Dy 2.44

Computed properties:
V: 20.62 A^3/atom
Density: 6.1 Mg/m³
Crystal system: tetragonal
Formation enthalpy at 0 K: -0.593 eV per atom


No. 4
DFT (PBE) results for a relaxed Sm2DyInC crystal.

Lattice parameters (Å, degrees): 4.9289 5.0590 5.0590 90.00 90.00 90.00
Last column: nearest neighbours and their distance in Å.
Element x y z (fractional)
Sm 0.0000 0.0000 0.5000  2 C 2.53
Sm 0.0000 0.5000 0.0000  2 C 2.53
Dy 0.5000 0.0000 0.0000  2 C 2.46
In 0.5000 0.5000 0.5000  8 Sm 3.53, 4 Dy 3.58
C 0.0000 0.0000 0.0000  2 Dy 2.46, 4 Sm 2.53

Computed properties:
V: 25.23 A^3/atom
Density: 7.8 Mg/m³
Crystal system: tetragonal
Formation enthalpy at 0 K: -0.419 eV per atom


No. 5
DFT (PBE) results for a relaxed SmDy2InC crystal.

Lattice parameters (Å, degrees): 5.0543 4.9298 4.9298 90.00 90.00 90.00
Last column: nearest neighbours and their distance in Å.
Element x y z (fractional)
In 0.5000 0.5000 0.5000  4 Sm 3.49, 8 Dy 3.53
Sm 0.5000 0.0000 0.0000  2 C 2.53
Dy 0.0000 0.0000 0.5000  2 C 2.46
Dy 0.0000 0.5000 0.0000  2 C 2.46
C 0.0000 0.0000 0.0000  4 Dy 2.46, 2 Sm 2.53

Computed properties:
V: 24.57 A^3/atom
Density: 8.1 Mg/m³
Crystal system: tetragonal
Formation enthalpy at 0 K: -0.458 eV per atom


No. 6
DFT (PBE) results for a relaxed Dy4InSnC crystal.

Lattice parameters (Å, degrees): 6.8504 6.8449 8.5924 90.00 113.49 90.00
Last column: nearest neighbours and their distance in Å.
Element x y z (fractional)
Sn 0.1124 0.2500 0.2247  9 Dy 3.18-3.44
Sn 0.8876 0.7500 0.7753  9 Dy 3.18-3.44
Dy 0.5000 0.5000 0.5000  2 C 2.42
Dy 0.5897 0.2500 0.1795  1 C 2.52
Dy 0.9107 0.2500 0.8213  1 C 2.54
Dy 0.0000 0.0000 0.5000  2 C 2.42
Dy 0.5000 0.0000 0.5000  2 C 2.42
Dy 0.0893 0.7500 0.1787  1 C 2.54
Dy 0.4103 0.7500 0.8205  1 C 2.52
Dy 0.0000 0.5000 0.5000  2 C 2.42
C 0.7494 0.2500 0.4987  6 Dy 2.42-2.54
C 0.2506 0.7500 0.5013  6 Dy 2.42-2.54
In 0.6126 0.7500 0.2252  9 Dy 3.19-3.44
In 0.3874 0.2500 0.7748  9 Dy 3.19-3.44

Computed properties:
V: 26.39 A^3/atom
Density: 8.0 Mg/m³
Crystal system: orthorhombic
Formation enthalpy at 0 K: -0.506 eV per atom


No. 7
DFT (PBE) results for a relaxed DyTh2InC crystal.

Lattice parameters (Å, degrees): 4.9825 5.0737 5.0737 90.00 90.00 90.00
Last column: nearest neighbours and their distance in Å.
Element x y z (fractional)
Dy 0.5000 0.0000 0.0000  2 C 2.49
In 0.5000 0.5000 0.5000  8 Th 3.56, 4 Dy 3.59
Th 0.0000 0.0000 0.5000  2 C 2.54
Th 0.0000 0.5000 0.0000  2 C 2.54
C 0.0000 0.0000 0.0000  2 Dy 2.49, 4 Th 2.54

Computed properties:
V: 25.65 A^3/atom
Density: 9.8 Mg/m³
Crystal system: tetragonal
Formation enthalpy at 0 K: -0.360 eV per atom


No. 8
DFT (PBE) results for a relaxed Dy4TlInC crystal.

Lattice parameters (Å, degrees): 7.0096 7.0089 8.3260 90.00 114.89 90.00
Last column: nearest neighbours and their distance in Å.
Element x y z (fractional)
C 0.2501 0.7500 0.5001  6 Dy 2.44-2.48
C 0.7499 0.2500 0.4999  6 Dy 2.44-2.48
Dy 0.5000 0.5000 0.5000  2 C 2.48
Dy 0.0874 0.7500 0.1747  1 C 2.46
Dy 0.4118 0.7500 0.8236  1 C 2.44
Dy 0.0000 0.5000 0.5000  2 C 2.48
Dy 0.0000 0.0000 0.5000  2 C 2.48
Dy 0.5000 0.0000 0.5000  2 C 2.48
Dy 0.9126 0.2500 0.8253  1 C 2.46
Dy 0.5882 0.2500 0.1764  1 C 2.44
In 0.3810 0.2500 0.7620  5 Dy 3.13-3.17
In 0.6190 0.7500 0.2380  5 Dy 3.13-3.17
Tl 0.1185 0.2500 0.2370  5 Dy 3.11-3.18
Tl 0.8815 0.7500 0.7630  5 Dy 3.11-3.18

Computed properties:
V: 26.50 A^3/atom
Density: 8.8 Mg/m³
Crystal system: orthorhombic
Formation enthalpy at 0 K: -0.355 eV per atom


No. 9
DFT (PBE) results for a relaxed DyTm2InC crystal.

Lattice parameters (Å, degrees): 4.9189 4.8402 4.8402 90.00 90.00 90.00
Last column: nearest neighbours and their distance in Å.
Element x y z (fractional)
Dy 0.5000 0.0000 0.0000  2 C 2.46
Tm 0.0000 0.5000 0.0000  2 C 2.42
Tm 0.0000 0.0000 0.5000  2 C 2.42
In 0.5000 0.5000 0.5000  4 Dy 3.42, 8 Tm 3.45
C 0.0000 0.0000 0.0000  4 Tm 2.42, 2 Dy 2.46

Computed properties:
V: 23.05 A^3/atom
Density: 9.0 Mg/m³
Crystal system: tetragonal
Formation enthalpy at 0 K: -0.537 eV per atom


No. 10
DFT (PBE) results for a relaxed DyIrC crystal.

Lattice parameters (Å, degrees): 4.8298 3.3732 3.3732 120.00 90.00 90.00
Last column: nearest neighbours and their distance in Å.
Element x y z (fractional)
Dy 0.7367 0.3333 0.6667  3 C 2.49
Ir 0.2068 0.0000 0.0000  3 C 2.08
C 0.0566 0.6667 0.3333  3 Ir 2.08

Computed properties:
V: 15.86 A^3/atom
Density: 12.8 Mg/m³
Crystal system: trigonal
Formation enthalpy at 0 K: -0.223 eV per atom


No. 11
DFT (PBE) results for a relaxed DyIrC crystal.

Lattice parameters (Å, degrees): 3.7002 3.7002 7.6581 103.98 103.98 90.00
Last column: nearest neighbours and their distance in Å.
Element x y z (fractional)
Ir 0.8123 0.8123 0.6246  1 C 2.04
Ir 0.1877 0.1877 0.3754  1 C 2.04
Dy 0.3891 0.3891 0.7781  4 C 2.78, 5 Ir 2.84-2.90
Dy 0.6109 0.6109 0.2219  4 C 2.78, 5 Ir 2.84-2.90
C 0.0461 0.0461 0.0923  1 C 1.33
C 0.9539 0.9539 0.9077  1 C 1.33

Computed properties:
V: 16.42 A^3/atom
Density: 12.4 Mg/m³
Crystal system: tetragonal
Formation enthalpy at 0 K: -0.099 eV per atom


No. 12
DFT (PBE) results for a relaxed KDy2C crystal.

Lattice parameters (Å, degrees): 3.6196 3.6196 10.7975 80.35 80.35 60.00
Last column: nearest neighbours and their distance in Å.
Element x y z (fractional)
K 0.0000 0.0000 0.0000  6 K 3.62, 2 Dy 3.96
Dy 0.8753 0.8753 0.3742  3 C 2.48
Dy 0.1247 0.1247 0.6258  3 C 2.48
C 0.5000 0.5000 0.5000  6 Dy 2.48

Computed properties:
V: 30.05 A^3/atom
Density: 5.2 Mg/m³
Crystal system: trigonal
Formation enthalpy at 0 K: -0.032 eV per atom


No. 13
DFT (PBE) results for a relaxed LaDyC crystal.

Lattice parameters (Å, degrees): 6.6413 3.6359 3.6359 120.00 90.00 90.00
Last column: nearest neighbours and their distance in Å.
Element x y z (fractional)
La 0.5510 0.6667 0.3333  3 C 2.60
Dy 0.1292 0.0000 0.0000  3 C 2.45
C 0.3198 0.3333 0.6667  3 Dy 2.45, 3 La 2.60

Computed properties:
V: 25.34 A^3/atom
Density: 6.8 Mg/m³
Crystal system: trigonal
Formation enthalpy at 0 K: -0.175 eV per atom